First-principles (PBE-GGA) data for a relaxed structure of Pr2Y2Hg3, as listed in Alexandria.

Geometry as POSCAR:
```
Pr2Y2Hg3
1.0
4.548 -2.631 0.000
4.548 2.631 0.000
-3.022 0.000 8.672
Pr Y Hg
2 2 3
Direct
0.128 0.128 0.383
0.872 0.872 0.617
0.377 0.377 0.132
0.623 0.623 0.868
0.000 0.000 0.000
0.253 0.253 0.761
0.747 0.747 0.239
```

## Properties
Total magnetic moment: 0.15 μB/atom
Energy of formation: -0.34 eV per atom